Record 1
{"formula": "Rb3Ba2CeS6", "functional": "PBE", "state": "relaxed", "sg": "C2/m, No. 12", "n_ef_per_ev_cell": 19.442, "crystal_system": "monoclinic", "total_energy_ev_per_atom": -4.674, "cell": [[7.7892, 0.0006, -0.0055], [-3.8922, 6.7470, -0.0055], [-1.3052, -2.2600, 7.6678]], "species": ["S", "S", "Rb", "S", "S", "Rb", "Ce", "Ba", "S", "Rb", "S", "Ba"], "fractional_positions": [[0.9319, 0.6365, 0.7964], [0.3635, 0.0681, 0.2036], [0.1691, 0.8309, 0.5000], [0.0681, 0.3635, 0.2036], [0.2265, 0.2265, 0.7980], [0.5000, 0.5000, 0.5000], [0.0000, 0.0000, 0.0000], [0.6666, 0.3334, 0.0000], [0.6365, 0.9319, 0.7964], [0.8309, 0.1691, 0.5000], [0.7735, 0.7735, 0.2020], [0.3334, 0.6666, 0.0000]]}

***

Record 2
{"formula": "Rb3BaCe2Se6", "functional": "PBE", "state": "relaxed", "sg": "C2/m, No. 12", "n_ef_per_ev_cell": 6.130, "crystal_system": "monoclinic", "total_energy_ev_per_atom": -4.806, "cell": [[-4.3220, -6.1986, 1.9437], [7.3509, -0.9760, -2.4274], [1.5453, 2.9894, 7.6985]], "species": ["Rb", "Se", "Rb", "Ce", "Ba", "Se", "Ce", "Se", "Se", "Se", "Rb", "Se"], "fractional_positions": [[0.5000, 0.5000, 0.5000], [0.5677, 0.9322, 0.7987], [0.1608, 0.8392, 0.5000], [0.6672, 0.3328, 0.0000], [0.0000, 0.0000, 0.0000], [0.0678, 0.4323, 0.2013], [0.3328, 0.6672, 0.0000], [0.4323, 0.0678, 0.2013], [0.7033, 0.7033, 0.2004], [0.2967, 0.2967, 0.7996], [0.8392, 0.1608, 0.5000], [0.9322, 0.5677, 0.7987]]}

***

Record 3
{"formula": "Rb2BaCeSe4", "functional": "PBE", "state": "relaxed", "sg": "P2/m, No. 10", "crystal_system": "monoclinic", "total_energy_ev_per_atom": -4.583, "cell": [[4.5352, 0.0000, 0.0000], [0.0000, 8.3706, -0.3277], [0.0000, 2.7882, 7.4748]], "species": ["Rb", "Ba", "Se", "Rb", "Ce", "Se", "Se", "Se"], "fractional_positions": [[0.0000, 0.0000, 0.0000], [0.5000, 0.5000, 0.0000], [0.0000, 0.2953, 0.2743], [0.5000, 0.0000, 0.5000], [0.0000, 0.5000, 0.5000], [0.5000, 0.3033, 0.7049], [0.0000, 0.7047, 0.7257], [0.5000, 0.6967, 0.2951]]}

***

Record 4
{"formula": "BaCeRh2", "functional": "PBE", "state": "relaxed", "sg": "P4/mmm, No. 123", "n_ef_per_ev_cell": 3.092, "formation_enthalpy_0k_ev_per_atom": -0.46, "crystal_system": "tetragonal", "cell": [[3.5388, 0.0000, 0.0000], [0.0000, 3.5388, 0.0000], [0.0000, 0.0000, 7.7033]], "species": ["Ce", "Ba", "Rh", "Rh"], "fractional_positions": [[0.5000, 0.5000, 0.0000], [0.5000, 0.5000, 0.5000], [0.0000, 0.0000, 0.1897], [0.0000, 0.0000, 0.8103]]}

***

Record 5
{"formula": "BaCeRh2", "functional": "PBE", "state": "relaxed", "sg": "R-3m, No. 166", "n_ef_per_ev_cell": 1.585, "formation_enthalpy_0k_ev_per_atom": -0.50, "crystal_system": "trigonal", "cell": [[4.5277, 0.0000, 0.0000], [2.2639, 3.9211, 0.0000], [2.2639, 1.3070, 6.1541]], "species": ["Rh", "Ba", "Rh", "Ce"], "fractional_positions": [[0.2960, 0.2960, 0.1122], [0.5000, 0.5000, 0.5000], [0.7040, 0.7040, 0.8878], [0.0000, 0.0000, 0.0000]]}

***

Record 6
{"formula": "BaCeRhS4", "functional": "PBE", "state": "relaxed", "sg": "Cmcm, No. 63", "n_ef_per_ev_cell": 11.435, "crystal_system": "orthorhombic", "total_energy_ev_per_atom": -5.858, "cell": [[-0.7615, -5.8238, 2.7068], [-1.6097, -2.6235, -6.0972], [7.4154, 1.4260, -2.5713]], "species": ["Ce", "Ce", "S", "S", "Rh", "Ba", "Rh", "S", "S", "S", "S", "S", "Ba", "S"], "fractional_positions": [[0.8716, 0.7500, 0.7432], [0.1284, 0.2500, 0.2568], [0.9388, 0.2500, 0.8775], [0.6001, 0.2500, 0.2001], [0.2378, 0.7500, 0.4755], [0.3987, 0.2500, 0.7974], [0.7622, 0.2500, 0.5245], [0.0612, 0.7500, 0.1225], [0.5000, 0.0000, 0.5000], [0.3999, 0.7500, 0.7999], [0.0000, 0.5000, 0.5000], [0.0000, 0.0000, 0.5000], [0.6013, 0.7500, 0.2026], [0.5000, 0.5000, 0.5000]]}

***

Record 7
{"formula": "Ba2CeSb3Rh4", "functional": "PBE", "state": "relaxed", "sg": "P-4m2, No. 115", "n_ef_per_ev_cell": 9.304, "crystal_system": "tetragonal", "total_energy_ev_per_atom": -5.919, "cell": [[4.6888, 0.0000, 0.0000], [0.0000, 4.6888, 0.0000], [0.0000, 0.0000, 10.9936]], "species": ["Rh", "Sb", "Sb", "Rh", "Rh", "Ce", "Ba", "Rh", "Ba", "Sb"], "fractional_positions": [[0.0000, 0.0000, 0.0000], [0.0000, 0.5000, 0.1218], [0.5000, 0.0000, 0.8782], [0.5000, 0.0000, 0.6304], [0.0000, 0.5000, 0.3696], [0.5000, 0.5000, 0.5000], [0.0000, 0.5000, 0.7648], [0.5000, 0.5000, 0.0000], [0.5000, 0.0000, 0.2352], [0.0000, 0.0000, 0.5000]]}

***

Record 8
{"formula": "BaCe3Ru", "functional": "PBE", "state": "relaxed", "sg": "Pm-3m, No. 221", "n_ef_per_ev_cell": 16.809, "formation_enthalpy_0k_ev_per_atom": 0.05, "crystal_system": "cubic", "cell": [[-0.1392, -0.0171, 5.5540], [3.9280, -3.9281, 0.0864], [3.9266, 3.9289, 0.1105]], "species": ["Ba", "Ce", "Ce", "Ru", "Ce"], "fractional_positions": [[0.5000, 0.5000, 0.5000], [0.0000, 0.5000, 0.0000], [0.0000, 0.0000, 0.5000], [0.0000, 0.0000, 0.0000], [0.5000, 0.0000, 0.0000]]}

***

Record 9
{"formula": "BaCe2Ru", "functional": "PBE", "state": "relaxed", "sg": "R-3m, No. 166", "n_ef_per_ev_cell": 12.076, "formation_enthalpy_0k_ev_per_atom": 0.03, "crystal_system": "trigonal", "cell": [[-0.3810, 1.6267, -3.6175], [-3.2483, -0.7410, -2.1856], [-5.9834, 8.6532, 2.3267]], "species": ["Ce", "Ru", "Ce", "Ba"], "fractional_positions": [[0.1185, 0.1185, 0.6445], [0.5000, 0.5000, 0.5000], [0.8815, 0.8815, 0.3555], [0.0000, 0.0000, 0.0000]]}

***

Record 10
{"formula": "BaCeS3", "functional": "PBE", "state": "relaxed", "sg": "Pmmn, No. 59", "crystal_system": "orthorhombic", "total_energy_ev_per_atom": -5.960, "cell": [[-0.3893, 3.2606, -2.8438], [-6.7311, 0.0100, 0.9330], [0.9566, 6.0762, 6.8357]], "species": ["S", "Ba", "Ce", "S", "S", "S", "S", "Ce", "S", "Ba"], "fractional_positions": [[0.7500, 0.9927, 0.6449], [0.2500, 0.7500, 0.8629], [0.7500, 0.7500, 0.3955], [0.2500, 0.2500, 0.8987], [0.7500, 0.5073, 0.6449], [0.2500, 0.4927, 0.3551], [0.7500, 0.7500, 0.1013], [0.2500, 0.2500, 0.6045], [0.2500, 0.0073, 0.3551], [0.7500, 0.2500, 0.1371]]}

***

Record 11
{"formula": "BaCeS4", "functional": "PBE", "state": "relaxed", "polymorph_energy_ev_per_atom": 0.1482, "sg": "P4/mmm, No. 123", "n_ef_per_ev_cell": 4.185, "crystal_system": "tetragonal", "cell": [[4.5445, 0.0000, 0.0000], [0.0000, 4.5445, 0.0000], [0.0000, 0.0000, 7.8826]], "species": ["S", "Ce", "S", "Ba", "S", "S"], "fractional_positions": [[0.5000, 0.0000, 0.7154], [0.5000, 0.5000, 0.5000], [0.5000, 0.0000, 0.2846], [0.0000, 0.0000, 0.0000], [0.0000, 0.5000, 0.7154], [0.0000, 0.5000, 0.2846]]}

***

Record 12
{"formula": "BaCeS2", "functional": "PBE", "state": "relaxed", "polymorph_energy_ev_per_atom": 0.0861, "sg": "R3m, No. 160", "n_ef_per_ev_cell": 7.477, "crystal_system": "trigonal", "cell": [[4.1617, 0.0000, 0.0000], [2.0808, 3.6041, 0.0000], [2.0808, 1.2014, 7.4841]], "species": ["Ba", "S", "Ce", "S"], "fractional_positions": [[0.4955, 0.4955, 0.5135], [0.2614, 0.2614, 0.2158], [0.6696, 0.6696, 0.9911], [0.0735, 0.0735, 0.7795]]}